MgZr2Tl: optimized geometry, PBE.

The structure in CIF format:
```
data_MgZr2Tl
_chemical_formula_sum 'Mg1 Zr2 Tl1'
_cell_length_a 4.429
_cell_length_b 4.429
_cell_length_c 4.519
_cell_angle_alpha 90.00
_cell_angle_beta 90.00
_cell_angle_gamma 90.00
_symmetry_space_group_name_H-M 'P 4/m m m'
_symmetry_Int_Tables_number 123
_symmetry_space_group_name_Hall '-P 4 2'
loop_
_atom_site_label
_atom_site_fract_x
_atom_site_fract_y
_atom_site_fract_z
_atom_site_occupancy
Mg1 0.000 0.000 0.000 1
Zr1 0.000 0.500 0.500 1
Tl1 0.500 0.500 0.000 1
```

## Properties
* magnetization: 0.00 μB per formula unit
* E: -21.4 eV/cell
* ΔH_f (0 K): -0.077 eV per atom